Entry 1:
InAuBr2: optimized geometry, GGA-PBE.

raw total energy: -2.39 eV per atom
uncorrected formation energy: -5 kJ/mol of atoms
Fermi-level density of states: 0.35 states/eV/f.u.

a = 3.6914 Å, b = 3.6914 Å, c = 7.7842 Å
α = 90.00°, β = 90.00°, γ = 90.00°
With the nearest neighbours (Å) after each atom.
Fractional positions:
In  0.0000  0.0000  0.0000  8 Br 3.37, 4 In 3.69
Au  0.0000  0.0000  0.5000  8 Br 3.15
Br  0.5000  0.5000  0.2738  4 Au 3.15, 4 In 3.37, 1 Br 3.52
Br  0.5000  0.5000  0.7262  4 Au 3.15, 4 In 3.37, 1 Br 3.52

Entry 2:
HIrSCl2: optimized geometry, GGA-PBE.

raw total energy: -3.49 eV per atom
Fermi-level density of states: 2.06 states/eV/f.u.

a = 5.0250 Å, b = 5.0250 Å, c = 4.3602 Å
α = 90.00°, β = 90.00°, γ = 90.00°
With the nearest neighbours (Å) after each atom.
Fractional positions:
H  0.0000  0.0000  0.0000  8 Cl 3.33, 4 S 3.55
Ir  0.5000  0.5000  0.5000  2 S 2.18
S  0.5000  0.5000  0.0000  2 Ir 2.18
Cl  0.0000  0.5000  0.5000  2 Ir 2.51
Cl  0.5000  0.0000  0.5000  2 Ir 2.51

Entry 3:
Li2TiF: optimized geometry, GGA-PBE.

raw total energy: -4.17 eV per atom
uncorrected formation energy: -75 kJ/mol of atoms
Fermi-level density of states: 2.05 states/eV/f.u.

a = 5.8349 Å, b = 5.8349 Å, c = 8.1555 Å
α = 90.00°, β = 90.00°, γ = 90.00°
With the nearest neighbours (Å) after each atom.
Fractional positions:
Li  0.0507  0.7500  0.1250  2 F 1.80
Li  0.2500  0.0507  0.8750  2 F 1.80
Li  0.2500  0.4493  0.3750  2 F 1.80
Li  0.4493  0.7500  0.6250  2 F 1.80
Li  0.5507  0.2500  0.6250  2 F 1.80
Li  0.7500  0.5507  0.3750  2 F 1.80
Li  0.7500  0.9493  0.8750  2 F 1.80
Li  0.9493  0.2500  0.1250  2 F 1.80
Ti  0.0000  0.0000  0.5000  8 Li 3.17-3.40
Ti  0.0000  0.5000  0.7500  8 Li 3.17-3.40
Ti  0.5000  0.0000  0.2500  8 Li 3.17-3.40
Ti  0.5000  0.5000  0.0000  8 Li 3.17-3.40
F  0.0000  0.0000  0.0000  4 Li 1.80
F  0.0000  0.5000  0.2500  4 Li 1.80
F  0.5000  0.0000  0.7500  4 Li 1.80
F  0.5000  0.5000  0.5000  4 Li 1.80

Entry 4:
CaHoSiAu: optimized geometry, GGA-PBE.

raw total energy: -4.47 eV per atom
uncorrected formation energy: -63 kJ/mol of atoms
Fermi-level density of states: 1.35 states/eV/f.u.

a = 7.1481 Å, b = 7.1481 Å, c = 7.1481 Å
α = 90.00°, β = 90.00°, γ = 90.00°
With the nearest neighbours (Å) after each atom.
Fractional positions:
Ca  0.0000  0.0000  0.0000  4 Au 3.10, 4 Si 3.10
Ca  0.0000  0.5000  0.5000  4 Au 3.10, 4 Si 3.10
Ca  0.5000  0.0000  0.5000  4 Au 3.10, 4 Si 3.10
Ca  0.5000  0.5000  0.0000  4 Au 3.10, 4 Si 3.10
Ho  0.0000  0.0000  0.5000  4 Si 3.10, 4 Au 3.10
Ho  0.0000  0.5000  0.0000  4 Si 3.10, 4 Au 3.10
Ho  0.5000  0.0000  0.0000  4 Si 3.10, 4 Au 3.10
Ho  0.5000  0.5000  0.5000  4 Si 3.10, 4 Au 3.10
Si  0.2500  0.2500  0.2500  4 Ca 3.10, 4 Ho 3.10
Si  0.2500  0.7500  0.7500  4 Ca 3.10, 4 Ho 3.10
Si  0.7500  0.2500  0.7500  4 Ca 3.10, 4 Ho 3.10
Si  0.7500  0.7500  0.2500  4 Ca 3.10, 4 Ho 3.10
Au  0.2500  0.2500  0.7500  4 Ho 3.10, 4 Ca 3.10
Au  0.2500  0.7500  0.2500  4 Ho 3.10, 4 Ca 3.10
Au  0.7500  0.2500  0.2500  4 Ho 3.10, 4 Ca 3.10
Au  0.7500  0.7500  0.7500  4 Ho 3.10, 4 Ca 3.10

Entry 5:
Ba2LiIn6Rh: optimized geometry, GGA-PBE.

raw total energy: -3.26 eV per atom
Fermi-level density of states: 6.82 states/eV/f.u.
calculated formation energy: -29 kJ/mol of atoms

a = 7.3862 Å, b = 7.3862 Å, c = 7.3901 Å
α = 119.93°, β = 119.93°, γ = 89.59°
With the nearest neighbours (Å) after each atom.
Fractional positions:
Ba  0.2106  0.7894  0.0000  12 In 3.70-3.77
Ba  0.7894  0.2106  0.0000  12 In 3.70-3.77
Li  0.0000  0.0000  0.5000  6 In 2.56-2.63
In  0.2464  0.7536  0.5000  1 Li 2.56, 1 Rh 2.64
In  0.2823  0.2823  0.9954  1 Li 2.63, 1 Rh 2.67
In  0.2847  0.2847  0.5733  1 Li 2.63, 1 Rh 2.67
In  0.7153  0.7153  0.4267  1 Li 2.63, 1 Rh 2.67
In  0.7177  0.7177  0.0046  1 Li 2.63, 1 Rh 2.67
In  0.7536  0.2464  0.5000  1 Li 2.56, 1 Rh 2.64
Rh  0.5000  0.5000  0.5000  6 In 2.64-2.67

Entry 6:
Np2MnSi3: optimized geometry, GGA-PBE.

raw total energy: -8.91 eV per atom
uncorrected formation energy: -34 kJ/mol of atoms
Fermi-level density of states: 6.23 states/eV/f.u.

a = 5.3206 Å, b = 5.3206 Å, c = 7.7223 Å
α = 90.00°, β = 90.00°, γ = 120.00°
With the nearest neighbours (Å) after each atom.
Fractional positions:
Np  0.3333  0.6667  0.0916  1 Np 2.45
Np  0.3333  0.6667  0.4084  1 Np 2.45
Np  0.6667  0.3333  0.5916  1 Np 2.45
Np  0.6667  0.3333  0.9084  1 Np 2.45
Mn  0.0000  0.0000  0.0000  6 Si 2.44
Mn  0.0000  0.0000  0.5000  6 Si 2.44
Si  0.1628  0.3255  0.7500  2 Mn 2.44, 4 Si 2.60-2.72
Si  0.1628  0.8372  0.7500  2 Mn 2.44, 4 Si 2.60-2.72
Si  0.3255  0.1628  0.2500  2 Mn 2.44, 4 Si 2.60-2.72
Si  0.6745  0.8372  0.7500  2 Mn 2.44, 4 Si 2.60-2.72
Si  0.8372  0.1628  0.2500  2 Mn 2.44, 4 Si 2.60-2.72
Si  0.8372  0.6745  0.2500  2 Mn 2.44, 4 Si 2.60-2.72

Entry 7:
HoMgHgPb: optimized geometry, GGA-PBE.

raw total energy: -2.91 eV per atom
Fermi-level density of states: 1.37 states/eV/f.u.
calculated formation energy: -35 kJ/mol of atoms

a = 4.2057 Å, b = 4.7837 Å, c = 4.9602 Å
α = 90.00°, β = 90.00°, γ = 90.00°
With the nearest neighbours (Å) after each atom.
Fractional positions:
Ho  0.0000  0.0000  0.0000  4 Pb 3.18, 4 Hg 3.25, 4 Mg 3.45
Mg  0.0000  0.5000  0.5000  4 Hg 3.18, 4 Pb 3.25, 4 Ho 3.45
Hg  0.5000  0.0000  0.5000  4 Mg 3.18, 4 Ho 3.25, 4 Pb 3.45
Pb  0.5000  0.5000  0.0000  4 Ho 3.18, 4 Mg 3.25, 4 Hg 3.45

Entry 8:
SrNp2O6: optimized geometry, GGA-PBE.

raw total energy: -9.31 eV per atom
uncorrected formation energy: -284 kJ/mol of atoms
Fermi-level density of states: 11.36 states/eV/f.u.

a = 8.8625 Å, b = 8.8625 Å, c = 8.8625 Å
α = 155.39°, β = 155.39°, γ = 35.09°
With the nearest neighbours (Å) after each atom.
Fractional positions:
Sr  0.0000  0.0000  0.0000  8 O 2.53
Np  0.3336  0.3336  0.0000  8 O 2.20-2.36
Np  0.6664  0.6664  0.0000  8 O 2.20-2.36
O  0.0992  0.5992  0.5000  2 Np 2.20
O  0.2500  0.7500  0.5000  4 Np 2.36, 2 O 2.55
O  0.4008  0.9008  0.5000  2 Np 2.20
O  0.5992  0.0992  0.5000  2 Np 2.20
O  0.7500  0.2500  0.5000  4 Np 2.36, 2 O 2.55
O  0.9008  0.4008  0.5000  2 Np 2.20

Entry 9:
EuDyInAu: optimized geometry, GGA-PBE.

raw total energy: -5.79 eV per atom
Fermi-level density of states: 9.74 states/eV/f.u.
calculated formation energy: -55 kJ/mol of atoms

a = 7.5185 Å, b = 7.5185 Å, c = 7.5185 Å
α = 90.00°, β = 90.00°, γ = 90.00°
With the nearest neighbours (Å) after each atom.
Fractional positions:
Eu  0.0000  0.0000  0.0000  4 In 3.26, 4 Au 3.26
Eu  0.0000  0.5000  0.5000  4 In 3.26, 4 Au 3.26
Eu  0.5000  0.0000  0.5000  4 In 3.26, 4 Au 3.26
Eu  0.5000  0.5000  0.0000  4 In 3.26, 4 Au 3.26
Dy  0.0000  0.0000  0.5000  4 Au 3.26, 4 In 3.26
Dy  0.0000  0.5000  0.0000  4 Au 3.26, 4 In 3.26
Dy  0.5000  0.0000  0.0000  4 Au 3.26, 4 In 3.26
Dy  0.5000  0.5000  0.5000  4 Au 3.26, 4 In 3.26
In  0.2500  0.2500  0.7500  4 Dy 3.26, 4 Eu 3.26
In  0.2500  0.7500  0.2500  4 Dy 3.26, 4 Eu 3.26
In  0.7500  0.2500  0.2500  4 Dy 3.26, 4 Eu 3.26
In  0.7500  0.7500  0.7500  4 Dy 3.26, 4 Eu 3.26
Au  0.2500  0.2500  0.2500  4 Dy 3.26, 4 Eu 3.26
Au  0.2500  0.7500  0.7500  4 Dy 3.26, 4 Eu 3.26
Au  0.7500  0.2500  0.7500  4 Dy 3.26, 4 Eu 3.26
Au  0.7500  0.7500  0.2500  4 Dy 3.26, 4 Eu 3.26

Entry 10:
HgW: optimized geometry, GGA-PBE.

raw total energy: -5.73 eV per atom
Fermi-level density of states: 0.89 states/eV/f.u.
calculated formation energy: 86 kJ/mol of atoms

a = 3.2782 Å, b = 4.6025 Å, c = 4.8590 Å
α = 90.00°, β = 90.00°, γ = 90.00°
With the nearest neighbours (Å) after each atom.
Fractional positions:
Hg  0.0000  0.0000  0.0000  4 Hg 2.83, 4 W 2.93
Hg  0.5000  0.5000  0.0000  4 Hg 2.83, 4 W 2.93
W  0.0000  0.5000  0.5000  4 W 2.83, 4 Hg 2.93
W  0.5000  0.0000  0.5000  4 W 2.83, 4 Hg 2.93

Entry 11:
SrCaSc2: optimized geometry, GGA-PBE.

raw total energy: -3.74 eV per atom
Fermi-level density of states: 6.86 states/eV/f.u.
calculated formation energy: 34 kJ/mol of atoms

a = 5.0614 Å, b = 5.0614 Å, c = 10.5611 Å
α = 90.00°, β = 90.00°, γ = 90.00°
With the nearest neighbours (Å) after each atom.
Fractional positions:
Sr  0.0000  0.0000  0.0000  4 Ca 3.58, 8 Sc 3.66
Sr  0.5000  0.5000  0.5000  4 Ca 3.58, 8 Sc 3.66
Ca  0.0000  0.0000  0.5000  4 Sr 3.58, 8 Sc 3.66
Ca  0.5000  0.5000  0.0000  4 Sr 3.58, 8 Sc 3.66
Sc  0.0000  0.5000  0.2500  4 Sc 3.58, 4 Ca 3.66, 4 Sr 3.66
Sc  0.0000  0.5000  0.7500  4 Sc 3.58, 4 Ca 3.66, 4 Sr 3.66
Sc  0.5000  0.0000  0.2500  4 Sc 3.58, 4 Ca 3.66, 4 Sr 3.66
Sc  0.5000  0.0000  0.7500  4 Sc 3.58, 4 Ca 3.66, 4 Sr 3.66

Entry 12:
LaEr2Tc: optimized geometry, GGA-PBE.

raw total energy: -6.22 eV per atom
Fermi-level density of states: 3.16 states/eV/f.u.
calculated formation energy: -11 kJ/mol of atoms

a = 7.3913 Å, b = 9.2619 Å, c = 6.4411 Å
α = 90.00°, β = 90.00°, γ = 90.00°
With the nearest neighbours (Å) after each atom.
Fractional positions:
La  0.0527  0.2500  0.1271  2 Tc 2.58-2.88
La  0.4473  0.7500  0.6271  2 Tc 2.58-2.88
La  0.5527  0.2500  0.3729  2 Tc 2.58-2.88
La  0.9473  0.7500  0.8729  2 Tc 2.58-2.88
Er  0.1745  0.0667  0.6623  3 Tc 2.92-3.19
Er  0.1745  0.4333  0.6623  3 Tc 2.92-3.19
Er  0.3255  0.5667  0.1623  3 Tc 2.92-3.19
Er  0.3255  0.9333  0.1623  3 Tc 2.92-3.19
Er  0.6745  0.0667  0.8377  3 Tc 2.92-3.19
Er  0.6745  0.4333  0.8377  3 Tc 2.92-3.19
Er  0.8255  0.5667  0.3377  3 Tc 2.92-3.19
Er  0.8255  0.9333  0.3377  3 Tc 2.92-3.19
Tc  0.1245  0.7500  0.4743  2 La 2.58-2.88
Tc  0.3755  0.2500  0.9743  2 La 2.58-2.88
Tc  0.6245  0.7500  0.0257  2 La 2.58-2.88
Tc  0.8755  0.2500  0.5257  2 La 2.58-2.88